A geometry-optimized Rb2NaBi2 structure. Source: Alexandria, functional GGA-PBE.

The space group is C2/c (No. 15) and the conventional cell measures 12.0051, 7.3681 and 10.2770 Å, with angles of 90.00, 99.99 and 90.00 degrees. The distinct sites, in fractional coordinates, are Rb at (0.1524, 0.1392, 0.1549), Na at (0.0000, 0.4182, 0.7500) and Bi at (0.1398, 0.3499, 0.5065).

Its size of the total moment is 0.00 μB/f.u. The energy above the most stable polymorph in this dataset comes out at 0 meV per atom. Its density of states at the Fermi level is 1.094 states/eV/atom. The volume is 44.76 A^3/atom. The value obtained for the formation energy is -291 meV per atom.